--- one ---
Here is an optimized crystal structure of Fe2RhBr from the Alexandria database. Energies are from PBE.

Lattice parameters (Å, degrees): 5.183 5.183 5.183 145.95 128.63 63.07
Each line ends with the local moment (μB).
Sites, in units of the cell vectors:
Fe 0.992 0.992 0.000  2.95
Br 0.237 0.737 0.500  0.12
Rh 0.506 0.506 0.000  0.76
Fe 0.764 0.264 0.500  2.95

Computed properties:
calculated volume	15.1	Å³/atom
density of states at the Fermi level	0.95	states/eV per atom
total moment	1.694	μB/atom


--- two ---
Here is an optimized crystal structure of Fe2RhBr from the Alexandria database. Energies are from PBE.

Lattice parameters (Å, degrees): 3.600 3.255 6.222 89.97 90.00 90.00
Each line ends with the local moment (μB).
Sites, in units of the cell vectors:
Rh 0.000 0.624 0.374  0.90
Fe 0.000 0.125 0.030  3.17
Br 0.500 0.626 0.799  0.13
Fe 0.500 0.125 0.297  3.03

Computed properties:
calculated volume	18.2	Å³/atom
density of states at the Fermi level	0.59	states/eV per atom
total moment	1.864	μB/atom


The structure with the least stability is one.


--- one ---
Here is an optimized crystal structure of Fe2RhBr from the Alexandria database. Energies are from PBE.

Lattice parameters (Å, degrees): 8.226 8.226 8.226 21.03 21.03 21.03
Each line ends with the local moment (μB).
Sites, in units of the cell vectors:
Rh 0.510 0.510 0.510  0.66
Fe 0.253 0.253 0.253  2.96
Br 0.740 0.740 0.740  0.11
Fe 0.996 0.996 0.996  2.83

Computed properties:
calculated volume	15.7	Å³/atom
density of states at the Fermi level	1.15	states/eV per atom
total moment	1.645	μB/atom


--- two ---
Here is an optimized crystal structure of Fe2RhBr from the Alexandria database. Energies are from PBE.

Lattice parameters (Å, degrees): 5.014 5.014 5.014 136.06 136.06 63.88
Each line ends with the local moment (μB).
Sites, in units of the cell vectors:
Fe 0.500 0.500 0.000  2.97
Br 0.750 0.250 0.500  0.09
Fe 0.000 0.000 0.000  2.97
Rh 0.250 0.750 0.500  0.46

Computed properties:
calculated volume	15.0	Å³/atom
density of states at the Fermi level	0.95	states/eV per atom
total moment	1.634	μB/atom


The structure with the least stability is two.


--- one ---
Here is an optimized crystal structure of Fe2RhBr from the Alexandria database. Energies are from PBE.

Lattice parameters (Å, degrees): 4.653 4.653 2.987 90.00 90.00 110.17
Each line ends with the local moment (μB).
Sites, in units of the cell vectors:
Fe 0.500 0.500 0.000  3.06
Fe 0.000 0.000 0.000  3.06
Rh 0.500 0.000 0.500  0.62
Br 0.000 0.500 0.500  0.13

Computed properties:
calculated volume	15.2	Å³/atom
density of states at the Fermi level	1.12	states/eV per atom
total moment	1.724	μB/atom


--- two ---
Here is an optimized crystal structure of Fe2RhBr from the Alexandria database. Energies are from PBE.

Lattice parameters (Å, degrees): 3.037 3.037 6.894 90.00 90.00 90.00
Each line ends with the local moment (μB).
Sites, in units of the cell vectors:
Rh 0.500 0.500 0.250  1.00
Fe 0.000 0.000 0.470  3.12
Fe 0.000 0.000 0.030  3.12
Br 0.500 0.500 0.750  0.14

Computed properties:
calculated volume	15.9	Å³/atom
density of states at the Fermi level	0.97	states/eV per atom
total moment	1.852	μB/atom


--- three ---
Here is an optimized crystal structure of Fe2RhBr from the Alexandria database. Energies are from PBE.

Lattice parameters (Å, degrees): 5.614 5.614 6.111 62.66 62.66 90.00
Sites, in units of the cell vectors:
Fe 0.633 0.125 0.250
Fe 0.117 0.625 0.250
Fe 0.875 0.883 0.750
Fe 0.375 0.367 0.750
Rh 0.750 0.250 0.500
Rh 0.000 0.000 0.000
Br 0.500 0.500 0.000
Br 0.250 0.750 0.500

Computed properties:
calculated volume	18.3	Å³/atom
density of states at the Fermi level	1.10	states/eV per atom
total moment	0.000	μB/atom


The structure with the least stability is three.


--- one ---
Here is an optimized crystal structure of Fe2RhBr from the Alexandria database. Energies are from PBE.

Lattice parameters (Å, degrees): 3.055 4.388 6.234 45.24 90.00 90.00
Each line ends with the local moment (μB).
Sites, in units of the cell vectors:
Fe 0.500 0.500 0.000  2.79
Rh 0.500 0.500 0.500  0.55
Fe 0.000 0.000 0.000  3.02
Br 0.000 0.000 0.500  0.10

Computed properties:
calculated volume	14.8	Å³/atom
density of states at the Fermi level	0.78	states/eV per atom
total moment	1.607	μB/atom


--- two ---
Here is an optimized crystal structure of Fe2RhBr from the Alexandria database. Energies are from PBE.

Lattice parameters (Å, degrees): 4.403 4.403 4.403 60.00 60.00 60.00
Each line ends with the local moment (μB).
Sites, in units of the cell vectors:
Rh 0.500 0.500 0.500  0.78
Br 0.000 0.000 0.000  0.11
Fe 0.750 0.750 0.750  2.92
Fe 0.250 0.250 0.250  2.92

Computed properties:
calculated volume	15.1	Å³/atom
density of states at the Fermi level	1.44	states/eV per atom
total moment	1.665	μB/atom


--- three ---
Here is an optimized crystal structure of Fe2RhBr from the Alexandria database. Energies are from PBE.

Lattice parameters (Å, degrees): 5.179 5.179 5.179 145.96 130.04 61.83
Each line ends with the local moment (μB).
Sites, in units of the cell vectors:
Rh 0.750 0.250 0.500  0.54
Fe 0.007 0.007 0.000  2.86
Fe 0.493 0.493 0.000  2.86
Br 0.250 0.750 0.500  0.08

Computed properties:
calculated volume	14.7	Å³/atom
density of states at the Fermi level	0.78	states/eV per atom
total moment	1.572	μB/atom


--- four ---
Here is an optimized crystal structure of Fe2RhBr from the Alexandria database. Energies are from PBE.

Lattice parameters (Å, degrees): 8.034 8.034 8.034 22.08 22.08 22.08
Each line ends with the local moment (μB).
Sites, in units of the cell vectors:
Fe 0.504 0.504 0.504  3.06
Br 0.750 0.750 0.750  0.15
Fe 0.996 0.996 0.996  3.06
Rh 0.250 0.250 0.250  0.96

Computed properties:
calculated volume	16.1	Å³/atom
density of states at the Fermi level	1.26	states/eV per atom
total moment	1.809	μB/atom


The structure with the least stability is two.


--- one ---
Here is an optimized crystal structure of Fe2RhBr from the Alexandria database. Energies are from PBE.

Lattice parameters (Å, degrees): 4.407 4.407 4.407 60.00 60.00 60.00
Each line ends with the local moment (μB).
Sites, in units of the cell vectors:
Rh 0.750 0.750 0.750  0.90
Fe 0.000 0.000 0.000  3.08
Fe 0.250 0.250 0.250  2.86
Br 0.500 0.500 0.500  0.18

Computed properties:
calculated volume	15.1	Å³/atom
density of states at the Fermi level	0.99	states/eV per atom
total moment	1.757	μB/atom


--- two ---
Here is an optimized crystal structure of Fe2RhBr from the Alexandria database. Energies are from PBE.

Lattice parameters (Å, degrees): 4.085 3.851 3.851 90.00 90.00 90.00
Each line ends with the local moment (μB).
Sites, in units of the cell vectors:
Rh 0.500 0.500 0.000  0.60
Fe 0.000 0.000 0.000  3.05
Br 0.500 0.000 0.500  0.14
Fe 0.000 0.500 0.500  3.05

Computed properties:
calculated volume	15.1	Å³/atom
density of states at the Fermi level	1.00	states/eV per atom
total moment	1.729	μB/atom


--- three ---
Here is an optimized crystal structure of Fe2RhBr from the Alexandria database. Energies are from PBE.

Lattice parameters (Å, degrees): 4.835 4.835 4.533 80.33 80.33 36.21
Each line ends with the local moment (μB).
Sites, in units of the cell vectors:
Br 0.250 0.250 0.250  0.08
Fe 0.007 0.007 0.957  2.87
Rh 0.750 0.750 0.750  0.56
Fe 0.493 0.493 0.543  2.87

Computed properties:
calculated volume	15.4	Å³/atom
density of states at the Fermi level	0.48	states/eV per atom
total moment	1.602	μB/atom


--- four ---
Here is an optimized crystal structure of Fe2RhBr from the Alexandria database. Energies are from PBE.

Lattice parameters (Å, degrees): 4.180 4.180 6.553 85.23 85.23 41.70
Each line ends with the local moment (μB).
Sites, in units of the cell vectors:
Br 0.378 0.378 0.219  0.05
Fe 0.980 0.980 0.932  2.82
Rh 0.436 0.436 0.599  0.72
Fe 0.706 0.706 0.750  2.96

Computed properties:
calculated volume	19.0	Å³/atom
density of states at the Fermi level	0.88	states/eV per atom
total moment	1.664	μB/atom


The structure with the least stability is one.


--- one ---
Here is an optimized crystal structure of Fe2RhBr from the Alexandria database. Energies are from PBE.

Lattice parameters (Å, degrees): 4.951 4.951 4.951 134.59 134.59 66.16
Each line ends with the local moment (μB).
Sites, in units of the cell vectors:
Br 0.750 0.250 0.500  0.14
Fe 0.250 0.750 0.500  2.99
Rh 0.500 0.500 0.000  0.74
Fe 0.000 0.000 0.000  3.06

Computed properties:
calculated volume	15.1	Å³/atom
density of states at the Fermi level	1.06	states/eV per atom
total moment	1.746	μB/atom


--- two ---
Here is an optimized crystal structure of Fe2RhBr from the Alexandria database. Energies are from PBE.

Lattice parameters (Å, degrees): 4.482 4.482 3.004 90.00 90.00 90.00
Each line ends with the local moment (μB).
Sites, in units of the cell vectors:
Br 0.000 0.500 0.500  0.10
Rh 0.500 0.000 0.500  0.85
Fe 0.000 0.000 0.000  2.98
Fe 0.500 0.500 0.000  2.98

Computed properties:
calculated volume	15.1	Å³/atom
density of states at the Fermi level	1.27	states/eV per atom
total moment	1.727	μB/atom


The structure with the least stability is one.


--- one ---
Here is an optimized crystal structure of Fe2RhBr from the Alexandria database. Energies are from PBE.

Lattice parameters (Å, degrees): 2.890 2.890 8.326 90.00 90.00 114.33
Each line ends with the local moment (μB).
Sites, in units of the cell vectors:
Fe 0.000 0.000 0.017  2.89
Rh 0.000 0.000 0.468  0.80
Fe 0.500 0.500 0.240  2.94
Br 0.500 0.500 0.775  0.15

Computed properties:
calculated volume	15.8	Å³/atom
density of states at the Fermi level	0.99	states/eV per atom
total moment	1.708	μB/atom


--- two ---
Here is an optimized crystal structure of Fe2RhBr from the Alexandria database. Energies are from PBE.

Lattice parameters (Å, degrees): 3.107 3.107 6.591 90.00 90.00 90.00
Each line ends with the local moment (μB).
Sites, in units of the cell vectors:
Fe 0.500 0.500 0.243  3.01
Br 0.500 0.500 0.784  0.15
Rh 0.000 0.000 0.439  0.86
Fe 0.000 0.000 0.034  2.96

Computed properties:
calculated volume	15.9	Å³/atom
density of states at the Fermi level	0.91	states/eV per atom
total moment	1.752	μB/atom


The structure with the least stability is one.


--- one ---
Here is an optimized crystal structure of Fe2RhBr2 from the Alexandria database. Energies are from PBE.

Lattice parameters (Å, degrees): 3.456 3.456 7.558 76.78 76.78 90.00
Each line ends with the local moment (μB).
Sites, in units of the cell vectors:
Rh 0.000 0.000 0.000  -0.52
Fe 0.750 0.250 0.500  2.69
Br 0.386 0.386 0.228  0.05
Br 0.614 0.614 0.772  0.05
Fe 0.250 0.750 0.500  2.69

Computed properties:
calculated volume	17.1	Å³/atom
density of states at the Fermi level	0.77	states/eV per atom
total moment	1.006	μB/atom


--- two ---
Here is an optimized crystal structure of Fe2RhBr2 from the Alexandria database. Energies are from PBE.

Lattice parameters (Å, degrees): 7.020 7.020 3.009 90.00 90.00 90.00
Sites, in units of the cell vectors:
Fe 0.856 0.356 0.500
Br 0.841 0.659 0.000
Fe 0.356 0.144 0.500
Fe 0.144 0.644 0.500
Br 0.159 0.341 0.000
Fe 0.644 0.856 0.500
Br 0.341 0.841 0.000
Rh 0.000 0.000 0.000
Rh 0.500 0.500 0.000
Br 0.659 0.159 0.000

Computed properties:
calculated volume	14.8	Å³/atom
density of states at the Fermi level	2.61	states/eV per atom
total moment	0.000	μB/atom


The structure with the least stability is two.